Entry 1:
A plane-wave DFT calculation with PBE was carried out for Eu2CuRu after structural relaxation.

The total DFT energy (no corrections) is -8.402 eV per atom. Its crystal system is tetragonal. The energy of formation comes out at 0.08 eV/atom. The value obtained for the total moment is 13.3 μB per cell.

The space group is P4/mmm (No. 123) and the conventional cell measures 3.4878, 3.4878 and 7.3962 Å, with angles of 90.00, 90.00 and 90.00 degrees. Symmetry generates all atoms from Eu at (0.0000, 0.0000, 0.2357), Cu at (0.5000, 0.5000, 0.5000) and Ru at (0.5000, 0.5000, 0.0000).

Entry 2:
A plane-wave DFT calculation with PBE was carried out for SmEuCuRu after structural relaxation.

The total DFT energy (no corrections) is -7.149 eV per atom. Its crystal system is cubic. The energy of formation comes out at -0.06 eV/atom. The value obtained for the total moment is 26.9 μB per cell.

The space group is F-43m (No. 216) and the conventional cell measures 7.0349, 7.0349 and 7.0349 Å, with angles of 90.00, 90.00 and 90.00 degrees. Symmetry generates all atoms from Sm at (0.0000, 0.0000, 0.0000), Eu at (0.0000, 0.0000, 0.5000), Cu at (0.2500, 0.2500, 0.7500) and Ru at (0.2500, 0.2500, 0.2500).

Among the records above, which one has the highest total moment? SmEuCuRu

Look up the total moment of the second one. 26.9 μB per cell

The highest energy of formation belongs to which entry? Eu2CuRu

Number 1 is which compound? Eu2CuRu